VASP calculation (PBE) on an optimized crystal structure of Tb2HoTm2Sc2.

Unit cell a=8.721 b=8.721 c=8.154 alpha=116.85 beta=116.85 gamma=22.42
Atoms (fractional coordinates):
Tb 0.150 0.150 0.393
Tb 0.850 0.850 0.607
Ho 0.500 0.500 0.500
Tm 0.075 0.075 0.912
Tm 0.925 0.925 0.088
Sc 0.288 0.288 0.198
Sc 0.712 0.712 0.802

The calculation puts the total magnetization at 0.0 μB per cell. The space group is C2/m (12). For the total energy, the calculation gives -0.360 Ry/atom. The formation energy is 159.9 meV/atom.